# 1
! SrCu2SeO2, relaxed, DFT PBE; values from VASP
&SYSTEM
  ibrav = 0, nat = 12, ntyp = 4
/
ATOMIC_SPECIES
Se 78.96 Se.upf
Sr 87.62 Sr.upf
O 16.00 O.upf
Cu 63.55 Cu.upf
CELL_PARAMETERS angstrom
-1.3730 -4.9325 2.9175
-2.6449 -3.4729 -7.1163
5.9923 1.6313 5.5781
ATOMIC_POSITIONS crystal
Se 0.7500 0.4950 0.0054
Se 0.2500 0.5050 0.9946
Sr 0.7500 0.7132 0.7867
Sr 0.2500 0.2868 0.2133
O 0.0156 0.8356 0.6646
O 0.9844 0.1644 0.3354
O 0.4844 0.8356 0.6646
O 0.5156 0.1644 0.3354
Cu 0.2500 0.0937 0.4048
Cu 0.7500 0.0765 0.4238
Cu 0.7500 0.9063 0.5952
Cu 0.2500 0.9235 0.5762
! space-group type	Cmcm (63)
! DOS(E_F)	0.96	states/eV per atom
! uncorrected formation energy	-1.06	eV per atom
! E	-4.939	eV/atom

# 2
! Rb2NaVTe4, relaxed, DFT PBE; values from VASP
&SYSTEM
  ibrav = 0, nat = 16, ntyp = 4
/
ATOMIC_SPECIES
Te 127.60 Te.upf
V 50.94 V.upf
Rb 85.47 Rb.upf
Na 22.99 Na.upf
CELL_PARAMETERS angstrom
6.9685 0.0000 0.0000
3.4842 7.1993 0.0000
3.4842 0.0000 13.3799
ATOMIC_POSITIONS crystal
Te 0.3483 0.7933 0.1133
Te 0.5384 0.2067 0.1133
Te 0.4017 0.7067 0.3867
Te 0.2116 0.2933 0.3867
Te 0.8916 0.7067 0.6133
Te 0.4951 0.2933 0.6133
Te 0.2549 0.2067 0.8867
Te 0.8584 0.7933 0.8867
V 0.2500 0.5000 0.5000
V 0.5000 0.0000 0.0000
Rb 0.5664 0.5000 0.8673
Rb 0.9336 0.5000 0.1327
Rb 0.8164 0.0000 0.3673
Rb 0.1836 0.0000 0.6327
Na 0.0000 0.0000 0.0000
Na 0.7500 0.5000 0.5000
! space-group type	Fddd (70)
! uncorrected formation energy	-0.66	eV per atom
! E	-3.778	eV/atom

# 3
! TaAg2AsS, relaxed, DFT PBE; values from VASP
&SYSTEM
  ibrav = 0, nat = 5, ntyp = 4
/
ATOMIC_SPECIES
Ag 107.87 Ag.upf
Ta 180.95 Ta.upf
As 74.92 As.upf
S 32.06 S.upf
CELL_PARAMETERS angstrom
-0.4033 -1.9032 4.3316
0.2969 -4.2619 -1.8449
4.7216 0.1164 0.4908
ATOMIC_POSITIONS crystal
Ag 0.5000 0.0000 0.0000
Ag 0.0000 0.0000 0.5000
Ta 0.0000 0.5000 0.0000
As 0.5000 0.5000 0.5000
S 0.0000 0.0000 0.0000
! space-group type	P4/mmm (123)
! DOS(E_F)	0.76	states/eV per atom
! uncorrected formation energy	0.61	eV per atom
! E	-4.661	eV/atom

# 4
! KPt2IBr, relaxed, DFT PBE; values from VASP
&SYSTEM
  ibrav = 0, nat = 5, ntyp = 4
/
ATOMIC_SPECIES
Pt 195.08 Pt.upf
Br 79.90 Br.upf
K 39.10 K.upf
I 126.90 I.upf
CELL_PARAMETERS angstrom
4.8069 0.0000 0.0000
0.0000 6.8477 0.0000
0.0000 0.0000 4.8069
ATOMIC_POSITIONS crystal
Pt 0.0000 0.0000 0.5000
Pt 0.5000 0.0000 0.0000
Br 0.0000 0.0000 0.0000
K 0.0000 0.5000 0.0000
I 0.5000 0.5000 0.5000
! space-group type	P4/mmm (123)
! DOS(E_F)	1.09	states/eV per atom
! uncorrected formation energy	0.29	eV per atom
! E	-2.988	eV/atom

# 5
! Dy8Er6Pb, relaxed, DFT PBE; values from VASP
&SYSTEM
  ibrav = 0, nat = 15, ntyp = 3
/
ATOMIC_SPECIES
Dy 162.50 Dy.upf
Pb 207.20 Pb.upf
Er 167.26 Er.upf
CELL_PARAMETERS angstrom
-3.9188 -5.2099 -1.6595
7.3982 -5.0129 -1.7327
-3.6080 0.0518 8.3573
ATOMIC_POSITIONS crystal
Dy 0.1950 0.6667 0.3333
Dy 0.1138 0.3125 0.3277
Dy 0.8862 0.9847 0.3125
Dy 0.1138 0.6723 0.9847
Dy 0.1138 0.0153 0.6875
Dy 0.8862 0.6875 0.6723
Dy 0.8050 0.3333 0.6667
Dy 0.8862 0.3277 0.0153
Pb 0.5000 0.0000 0.0000
Er 0.6057 0.9237 0.6038
Er 0.3943 0.0763 0.3962
Er 0.3943 0.6038 0.6801
Er 0.6057 0.3962 0.3199
Er 0.6057 0.6801 0.0763
Er 0.3943 0.3199 0.9237
! space-group type	P-3 (147)
! DOS(E_F)	1.34	states/eV per atom
! E	-4.344	eV/atom
! calculated formation energy	0.183	eV per atom

# 6
! Pr11In9Ni4, relaxed, DFT PBE; values from VASP
&SYSTEM
  ibrav = 0, nat = 24, ntyp = 3
/
ATOMIC_SPECIES
In 114.82 In.upf
Pr 140.91 Pr.upf
Ni 58.69 Ni.upf
CELL_PARAMETERS angstrom
13.4801 0.0017 0.0000
-5.1733 12.4479 0.0000
0.0000 0.0000 3.8118
ATOMIC_POSITIONS crystal
In 0.1326 0.6622 0.0000
In 0.4192 0.2799 0.0000
In 0.2799 0.4192 0.0000
In 0.3378 0.8674 0.0000
In 0.0000 0.0000 0.0000
In 0.8674 0.3378 0.0000
In 0.6622 0.1326 0.0000
In 0.5808 0.7201 0.0000
In 0.7201 0.5808 0.0000
Pr 0.8131 0.8131 0.5000
Pr 0.1869 0.1869 0.5000
Pr 0.8746 0.1254 0.5000
Pr 0.0833 0.4215 0.5000
Pr 0.4215 0.0833 0.5000
Pr 0.6619 0.3381 0.5000
Pr 0.9167 0.5785 0.5000
Pr 0.5000 0.5000 0.5000
Pr 0.1254 0.8746 0.5000
Pr 0.3381 0.6619 0.5000
Pr 0.5785 0.9167 0.5000
Ni 0.2539 0.0516 0.0000
Ni 0.0516 0.2539 0.0000
Ni 0.7461 0.9484 0.0000
Ni 0.9484 0.7461 0.0000
! space-group type	Cmmm (65)
! DOS(E_F)	0.73	states/eV per atom
! E	-4.655	eV/atom
! calculated formation energy	-0.474	eV per atom

# 7
! CsTl2CrBr6, relaxed, DFT PBE; values from VASP
&SYSTEM
  ibrav = 0, nat = 10, ntyp = 4
/
ATOMIC_SPECIES
Br 79.90 Br.upf
Cs 132.91 Cs.upf
Cr 52.00 Cr.upf
Tl 204.38 Tl.upf
CELL_PARAMETERS angstrom
-7.0171 -3.7302 -1.5482
-4.7389 -2.4259 6.0987
-7.1471 4.0506 1.4371
ATOMIC_POSITIONS crystal
Br 0.1498 0.3993 0.7972
Br 0.2430 0.0064 0.2267
Br 0.6542 0.1489 0.7976
Br 0.5241 0.2433 0.2263
Br 0.0059 0.5250 0.2259
Br 0.3994 0.6538 0.7969
Cs 0.8140 0.8141 0.5572
Cr 0.3274 0.3274 0.0179
Tl 0.0128 0.0129 0.9618
Tl 0.5310 0.5307 0.4077
! space-group type	P1 (1)
! uncorrected formation energy	-0.98	eV per atom
! E	-3.509	eV/atom

# 8
! Te2PtI2, relaxed, DFT PBE; values from VASP
&SYSTEM
  ibrav = 0, nat = 10, ntyp = 3
/
ATOMIC_SPECIES
Pt 195.08 Pt.upf
Te 127.60 Te.upf
I 126.90 I.upf
CELL_PARAMETERS angstrom
7.3486 0.0000 -2.9894
-1.0681 5.0523 -2.6257
0.0751 2.2614 10.7116
ATOMIC_POSITIONS crystal
Pt 0.2500 0.5000 0.0000
Pt 0.7500 0.5000 0.0000
Te 0.9168 0.4990 0.8336
Te 0.5832 0.6653 0.1664
Te 0.4168 0.3347 0.8336
Te 0.0832 0.5010 0.1664
I 0.6847 0.4280 0.3693
I 0.8153 0.0587 0.6307
I 0.1847 0.9413 0.3693
I 0.3153 0.5720 0.6307
! space-group type	Ibam (72)
! uncorrected formation energy	-0.15	eV per atom
! E	-3.240	eV/atom

# 9
! Li3Sm2ErTe6, relaxed, DFT PBE; values from VASP
&SYSTEM
  ibrav = 0, nat = 12, ntyp = 4
/
ATOMIC_SPECIES
Li 6.94 Li.upf
Te 127.60 Te.upf
Sm 150.36 Sm.upf
Er 167.26 Er.upf
CELL_PARAMETERS angstrom
7.5931 -0.0012 0.0004
-3.7958 6.5763 0.0004
-1.2668 -2.1935 7.0689
ATOMIC_POSITIONS crystal
Li 0.8322 0.1678 0.5000
Li 0.5000 0.5000 0.5000
Li 0.1678 0.8322 0.5000
Te 0.9141 0.5874 0.7421
Te 0.5874 0.9141 0.7421
Te 0.2408 0.2408 0.7429
Te 0.7592 0.7592 0.2571
Te 0.0859 0.4126 0.2579
Te 0.4126 0.0859 0.2579
Sm 0.3335 0.6665 0.0000
Sm 0.6665 0.3335 0.0000
Er 0.0000 0.0000 0.0000
! space-group type	C2/m (12)
! uncorrected formation energy	-1.29	eV per atom
! E	-4.507	eV/atom

# 10
! CrCdBr2, relaxed, DFT PBE; values from VASP
&SYSTEM
  ibrav = 0, nat = 4, ntyp = 3
/
ATOMIC_SPECIES
Br 79.90 Br.upf
Cd 112.41 Cd.upf
Cr 52.00 Cr.upf
CELL_PARAMETERS angstrom
3.5551 0.0000 0.0000
0.0000 3.9671 -0.0407
0.0000 1.2950 9.5917
ATOMIC_POSITIONS crystal
Br 0.0000 0.6123 0.5824
Br 0.0000 0.8877 0.9176
Cd 0.5000 0.2500 0.2500
Cr 0.5000 0.7500 0.7500
! space-group type	P2/m (10)
! DOS(E_F)	0.22	states/eV per atom
! uncorrected formation energy	-0.30	eV per atom
! E	-3.768	eV/atom

# 11
! MnVBi2Ir, relaxed, DFT PBE; values from VASP
&SYSTEM
  ibrav = 0, nat = 5, ntyp = 4
/
ATOMIC_SPECIES
Bi 208.98 Bi.upf
Ir 192.22 Ir.upf
V 50.94 V.upf
Mn 54.94 Mn.upf
CELL_PARAMETERS angstrom
-2.5067 2.0667 -3.8082
-3.3163 0.5467 2.4795
1.7254 4.5118 1.3128
ATOMIC_POSITIONS crystal
Bi 0.5000 0.0000 0.0000
Bi 0.0000 0.0000 0.5000
Ir 0.5000 0.5000 0.5000
V 0.0000 0.5000 0.0000
Mn 0.0000 0.0000 0.0000
! space-group type	P4/mmm (123)
! DOS(E_F)	1.32	states/eV per atom
! E	-5.951	eV/atom
! calculated formation energy	1.032	eV per atom

- The lowest E belongs to which entry?
  MnVBi2Ir

- Which of these has the highest E?
  KPt2IBr

- Number 4 is which compound?
  KPt2IBr